DFT (PBE-GGA) results for a geometry-optimized K2Ce2CoSe6 structure.

Computed properties:
Magnetic moment ... 0.1015 μB per atom
Uncorrected formation energy ... -1.19 eV/atom
Final energy ... -55.217 eV per formula unit

a = 6.937 Å, b = 6.937 Å, c = 8.228 Å
α = 98.69°, β = 98.69°, γ = 118.65°
Sites, in units of the cell vectors:
K: 0.173 0.827 0.000
K: 0.827 0.173 0.000
Ce: 0.331 0.669 0.500
Ce: 0.669 0.331 0.500
Co: 0.000 0.000 0.500
Se: 0.073 0.369 0.694
Se: 0.222 0.222 0.315
Se: 0.369 0.073 0.694
Se: 0.631 0.927 0.306
Se: 0.778 0.778 0.685
Se: 0.927 0.631 0.306